[1]
ZnNiPb at its PBEsol-relaxed geometry. Source: Alexandria via LeMat-Bulk, functional SCAN.

The structure in POSCAR format:
```
ZnNiPb
1.0
-1.283 0.358 4.019
-3.422 -2.111 1.325
0.426 -3.268 2.657
Pb Zn Ni
1 1 1
direct
0.000 0.000 0.000 Pb
0.500 0.500 0.500 Zn
0.250 0.250 0.250 Ni
```

Results
- Energy relative to the lowest polymorph listed for this composition: 0.0 meV per atom
- Magnetic moment: 0.00 μB per formula unit
- Calculated total energy: -35.0835 eV/atom
- E_form: 0.073 eV per atom
- Space group: No. 216
- Theoretical density: 10.25 g cm⁻³
- Fermi-level density of states: 1.44 states/eV per cell



[2]
ZnNiPb at its PBEsol-relaxed geometry. Source: Alexandria via LeMat-Bulk, functional SCAN.

The structure in POSCAR format:
```
ZnNiPb
1.0
4.335 0.000 0.000
2.168 3.754 0.000
2.168 1.251 3.540
Ni Pb Zn
1 1 1
direct
0.500 0.500 0.500 Ni
0.250 0.250 0.250 Pb
0.000 0.000 0.000 Zn
```

Results
- Energy relative to the lowest polymorph listed for this composition: 380.3 meV per atom
- Magnetic moment: 0.00 μB per formula unit
- Calculated total energy: -34.7032 eV/atom
- E_form: 0.453 eV per atom
- Space group: No. 216
- Theoretical density: 9.55 g cm⁻³
- Fermi-level density of states: 1.93 states/eV per cell



[3]
ZrNiPb at its PBEsol-relaxed geometry. Source: Alexandria via LeMat-Bulk, functional SCAN.

The structure in POSCAR format:
```
ZrNiPb
1.0
-2.968 1.108 -0.534
-1.014 -2.996 -0.562
0.800 0.340 5.918
Zr Ni Pb
1 1 1
direct
0.637 0.637 0.273 Zr
0.014 0.014 0.028 Ni
0.349 0.349 0.699 Pb
```

Results
- Magnetic moment: 0.00 μB per formula unit
- Calculated total energy: -41.0634 eV/atom
- E_form: -0.179 eV per atom
- Space group: No. 107
- Theoretical density: 10.39 g cm⁻³
- Fermi-level density of states: 1.43 states/eV per cell



[4]
ZrNiPb2 at its PBEsol-relaxed geometry. Source: Alexandria via LeMat-Bulk, functional SCAN.

The structure in POSCAR format:
```
ZrNiPb2
1.0
-1.241 1.524 4.479
-2.506 -2.957 2.983
2.181 -1.928 3.931
Zr Pb Ni
1 2 1
direct
0.500 0.500 0.500 Zr
0.250 0.250 0.250 Pb
0.750 0.750 0.750 Pb
0.000 0.000 0.000 Ni
```

Results
- Magnetic moment: 0.96 μB per formula unit
- Calculated total energy: -49.3403 eV/atom
- E_form: 0.268 eV per atom
- Space group: No. 225
- Theoretical density: 11.32 g cm⁻³
- Fermi-level density of states: 3.40 states/eV per cell



[5]
ZrNiPb at its PBEsol-relaxed geometry. Source: Alexandria via LeMat-Bulk, functional SCAN.

The structure in POSCAR format:
```
ZrNiPb
1.0
3.509 0.000 0.000
-1.754 3.039 0.000
0.000 0.000 5.780
Pb Zr Ni
1 1 1
direct
0.333 0.667 0.705 Pb
0.667 0.333 0.272 Zr
0.000 0.000 0.023 Ni
```

Results
- Magnetic moment: 0.00 μB per formula unit
- Calculated total energy: -40.9292 eV/atom
- E_form: -0.045 eV per atom
- Space group: No. 156
- Theoretical density: 9.62 g cm⁻³
- Fermi-level density of states: 1.27 states/eV per cell



[6]
NiPd5 at its PBEsol-relaxed geometry. Source: Alexandria via LeMat-Bulk, functional SCAN.

The structure in POSCAR format:
```
NiPd5
1.0
-0.882 3.272 -3.214
-3.690 -0.440 -2.829
-4.041 3.153 0.925
Pd Ni
5 1
direct
0.334 0.334 0.998 Pd
0.500 0.163 0.500 Pd
0.163 0.837 0.500 Pd
0.666 0.666 0.002 Pd
0.837 0.500 0.500 Pd
0.000 0.000 0.000 Ni
```

Results
- Magnetic moment: 2.81 μB per formula unit
- Calculated total energy: -29.9784 eV/atom
- E_form: 0.029 eV per atom
- Space group: No. 155
- Theoretical density: 11.66 g cm⁻³
- Fermi-level density of states: 6.91 states/eV per cell



[7]
Pm2NiPd at its PBEsol-relaxed geometry. Source: Alexandria via LeMat-Bulk, functional SCAN.

The structure in POSCAR format:
```
Pm2NiPd
1.0
4.917 0.000 0.000
2.459 4.258 0.000
2.459 1.419 4.015
Pd Pm Ni
1 2 1
direct
0.000 0.000 0.000 Pd
0.750 0.750 0.750 Pm
0.250 0.250 0.250 Pm
0.500 0.500 0.500 Ni
```

Results
- Magnetic moment: 0.00 μB per formula unit
- Calculated total energy: -34.7697 eV/atom
- E_form: -0.540 eV per atom
- Space group: No. 225
- Theoretical density: 8.99 g cm⁻³
- Fermi-level density of states: 2.52 states/eV per cell



[8]
NiPd3Pt at its PBEsol-relaxed geometry. Source: Alexandria via LeMat-Bulk, functional SCAN.

The structure in POSCAR format:
```
NiPd3Pt
1.0
-3.482 1.359 2.937
-1.065 -4.555 0.846
3.056 -0.038 3.641
Pd Ni Pt
3 1 1
direct
0.500 0.000 0.000 Pd
0.000 0.000 0.500 Pd
0.000 0.500 0.000 Pd
0.500 0.500 0.500 Ni
0.000 0.000 0.000 Pt
```

Results
- Magnetic moment: 1.24 μB per formula unit
- Calculated total energy: -35.4419 eV/atom
- E_form: 1.496 eV per atom
- Space group: No. 221
- Theoretical density: 8.86 g cm⁻³
- Fermi-level density of states: 12.65 states/eV per cell



[9]
TaReNiPd2 at its PBEsol-relaxed geometry. Source: Alexandria via LeMat-Bulk, functional SCAN.

The structure in POSCAR format:
```
TaReNiPd2
1.0
-0.191 -1.417 4.450
1.807 -4.186 -1.255
4.366 1.669 0.719
Ni Pd Re Ta
1 2 1 1
direct
0.500 0.500 0.500 Ni
0.000 0.000 0.500 Pd
0.000 0.500 0.000 Pd
0.000 0.000 0.000 Re
0.500 0.000 0.000 Ta
```

Results
- Magnetic moment: 0.70 μB per formula unit
- Calculated total energy: -42.1952 eV/atom
- E_form: 1.685 eV per atom
- Space group: No. 123
- Theoretical density: 10.14 g cm⁻³
- Fermi-level density of states: 6.84 states/eV per cell



[10]
NiPdS2 at its PBEsol-relaxed geometry. Source: Alexandria via LeMat-Bulk, functional SCAN.

The structure in POSCAR format:
```
NiPdS2
1.0
-3.277 -2.642 0.135
-0.316 -3.109 -2.823
0.566 -3.997 1.198
S Ni Pd
2 1 1
direct
0.750 0.750 0.750 S
0.250 0.250 0.250 S
0.000 0.000 0.000 Ni
0.500 0.500 0.500 Pd
```

Results
- Uncorrected formation energy: 0.1929 eV per atom
- Magnetic moment: 0.00 μB per formula unit
- Calculated total energy: -16.8580 eV/atom
- Space group: No. 225
- Theoretical density: 7.21 g cm⁻³
- Fermi-level density of states: 1.54 states/eV per cell



[11]
Sc3NiPd at its PBEsol-relaxed geometry. Source: Alexandria via LeMat-Bulk, functional SCAN.

The structure in POSCAR format:
```
Sc3NiPd
1.0
4.917 0.000 0.000
0.000 4.917 0.000
0.000 0.000 4.917
Sc Ni Pd
3 1 1
direct
0.000 0.500 0.000 Sc
0.500 0.000 0.000 Sc
0.000 0.000 0.500 Sc
0.500 0.500 0.500 Ni
0.000 0.000 0.000 Pd
```

Results
- Magnetic moment: 0.00 μB per formula unit
- Calculated total energy: -18.0987 eV/atom
- E_form: 0.233 eV per atom
- Space group: No. 221
- Theoretical density: 4.19 g cm⁻³
- Fermi-level density of states: 5.17 states/eV per cell



[12]
NiPd3Se at its PBEsol-relaxed geometry. Source: Alexandria via LeMat-Bulk, functional SCAN.

The structure in POSCAR format:
```
NiPd3Se
1.0
4.480 0.000 0.000
0.000 4.480 0.000
0.000 0.000 4.480
Ni Pd Se
1 3 1
direct
0.000 0.000 0.000 Ni
0.000 0.000 0.500 Pd
0.500 0.000 0.000 Pd
0.000 0.500 0.000 Pd
0.500 0.500 0.500 Se
```

Results
- Uncorrected formation energy: 0.8195 eV per atom
- Magnetic moment: 1.34 μB per formula unit
- Calculated total energy: -26.0955 eV/atom
- Space group: No. 221
- Theoretical density: 8.44 g cm⁻³
- Fermi-level density of states: 8.26 states/eV per cell